w:
Sr2UO5: relaxed, GGA-PBE.

## Properties
For the density, the calculation gives 5337 kg/m3.

Unit cell a=4.4227 b=12.1841 c=11.3915 alpha=90.00 beta=90.00 gamma=90.00
Space group Cmcm (No. 63)
One atom of each set of equivalent atoms:
Sr  0.0000  0.1429  0.0723 x8
U  0.0000  0.1688  0.7500 x4
O  0.0000  0.0521  0.6252 x8
O  0.0000  0.2788  0.6099 x8
O  0.0000  0.2925  0.2500 x4


x:
Sr2UO5: relaxed, GGA-PBE.

## Properties
For the density, the calculation gives 7074 kg/m3.

Unit cell a=10.2226 b=7.1779 c=6.3117 alpha=90.00 beta=90.00 gamma=90.00
Space group Pnma (No. 62)
One atom of each set of equivalent atoms:
Sr  0.1697  0.0038  0.0329 x8
U  0.0005  0.2500  0.5550 x4
O  0.0133  0.2500  0.8998 x4
O  0.0802  0.5352  0.6530 x8
O  0.1702  0.2500  0.3745 x4
O  0.1912  0.7500  0.3413 x4


y:
Sr2UO5: relaxed, GGA-PBE.

## Properties
For the density, the calculation gives 6149 kg/m3.

Unit cell a=8.1668 b=5.7218 c=12.0221 alpha=90.00 beta=108.47 gamma=90.00
Space group P2_1/c (No. 14)
One atom of each set of equivalent atoms:
Sr  0.1562  0.0661  0.3190 x4
Sr  0.3408  0.0002  0.6388 x4
U  0.0000  0.0000  0.0000 x2
U  0.5000  0.0000  0.0000 x2
O  0.0190  0.2435  0.6221 x4
O  0.1083  0.7112  0.6406 x4
O  0.2505  0.1520  0.9987 x4
O  0.3952  0.7022  0.9248 x4
O  0.4460  0.1699  0.8357 x4


Which of the structures shown above is the most stable? The most stable is y.